DFT (PBE) results for a relaxed structure of Si17NiGe14.

```
data_Si17NiGe14
_cell_length_a 5.565
_cell_length_b 3.943
_cell_length_c 31.310
_cell_angle_alpha 90.00
_cell_angle_beta 90.09
_cell_angle_gamma 90.00
_symmetry_space_group_name_H-M 'P 1'
_symmetry_Int_Tables_number 1
_symmetry_space_group_name_Hall 'P 1'
loop_
_atom_site_label
_atom_site_type_symbol
_atom_site_fract_x
_atom_site_fract_y
_atom_site_fract_z
Si1 Si 0.000 0.000 0.000
Si2 Si 0.000 0.000 0.748
Si3 Si 0.248 0.000 0.809
Si4 Si 0.250 0.000 0.061
Si5 Si 0.250 0.000 0.310
Si6 Si 0.253 0.000 0.564
Si7 Si 0.488 0.500 0.810
Si8 Si 0.489 0.500 0.062
Si9 Si 0.491 0.500 0.311
Si10 Si 0.494 0.500 0.568
Si11 Si 0.501 0.500 0.435
Si12 Si 0.504 0.500 0.680
Si13 Si 0.737 0.500 0.373
Si14 Si 0.738 0.500 0.871
Si15 Si 0.739 0.500 0.123
Si16 Si 0.750 0.500 0.250
Si17 Si 0.990 0.000 0.250
Ni1 Ni 0.750 0.500 0.623
Ge1 Ge 0.003 0.000 0.501
Ge2 Ge 0.239 0.000 0.187
Ge3 Ge 0.239 0.000 0.936
Ge4 Ge 0.250 0.000 0.685
Ge5 Ge 0.251 0.000 0.435
Ge6 Ge 0.499 0.500 0.935
Ge7 Ge 0.502 0.500 0.187
Ge8 Ge 0.736 0.500 0.501
Ge9 Ge 0.747 0.500 0.746
Ge10 Ge 0.751 0.500 0.000
Ge11 Ge 0.963 0.000 0.623
Ge12 Ge 0.987 0.000 0.871
Ge13 Ge 0.988 0.000 0.122
Ge14 Ge 0.988 0.000 0.371
```

The value obtained for the raw total energy is -5.0307 eV/atom. The space-group type is Pm.

---

DFT (PBE) results for a relaxed structure of NdN.

```
data_NdN
_cell_length_a 3.176
_cell_length_b 3.498
_cell_length_c 3.498
_cell_angle_alpha 59.70
_cell_angle_beta 90.00
_cell_angle_gamma 90.00
_symmetry_space_group_name_H-M 'P 1'
_symmetry_Int_Tables_number 1
_symmetry_space_group_name_Hall 'P 1'
loop_
_atom_site_label
_atom_site_type_symbol
_atom_site_fract_x
_atom_site_fract_y
_atom_site_fract_z
Nd1 Nd 0.000 0.000 0.000
N1 N 0.500 0.334 0.334
```

The value obtained for the raw total energy is -7.5332 eV/atom. The space-group type is Amm2.